Record 1
# GaS8

GaS8 after structural relaxation (PBE, Alexandria).

Cell: 6.3369 6.7337 7.6213 Å, 93.70 112.20 107.11°
Closest atoms and distances in Å follow each position.
Element x y z (fractional)
Ga  0.0000  0.0000  0.0000  4 S 2.40-2.41
S  0.0646  0.2808  0.8273  1 S 2.02
S  0.3189  0.2291  0.2943  1 S 2.01
S  0.3508  0.5273  0.0165  2 S 2.02-2.13
S  0.3578  0.0532  0.5003  2 S 2.01-2.13
S  0.6422  0.9468  0.4997  2 S 2.01-2.13
S  0.6492  0.4727  0.9835  2 S 2.02-2.13
S  0.6811  0.7709  0.7057  1 S 2.01
S  0.9354  0.7192  0.1727  1 S 2.02

Crystal system   triclinic
Raw formation energy   0.02 eV/atom


Record 2
# Ga2S3

Ga2S3 after structural relaxation (PBE, Alexandria).

Cell: 10.5697 10.5697 10.5697 Å, 153.23 153.23 38.21°
Closest atoms and distances in Å follow each position.
Element x y z (fractional)
Ga  0.0000  0.0000  0.0000  4 S 2.46
Ga  0.2500  0.7500  0.5000  4 S 2.32
Ga  0.4192  0.4192  0.0000  4 S 2.82-3.05
Ga  0.5808  0.5808  0.0000  4 S 2.82-3.05
S  0.0523  0.8419  0.2105  1 S 2.06
S  0.1581  0.3686  0.2105  1 S 2.06
S  0.1581  0.9477  0.7895  1 S 2.06
S  0.5103  0.0103  0.5000  2 Ga 2.46
S  0.6314  0.8419  0.7895  1 S 2.06
S  0.9897  0.4897  0.5000  2 Ga 2.46

Crystal system   tetragonal
Raw formation energy   -0.10 eV/atom


Record 3
# GaS

GaS after structural relaxation (PBE, Alexandria).

Cell: 3.6237 3.6237 17.0036 Å, 90.00 90.00 120.00°
Closest atoms and distances in Å follow each position.
Element x y z (fractional)
Ga  0.3333  0.6667  0.1774  3 S 2.36, 1 Ga 2.47
Ga  0.3333  0.6667  0.3226  3 S 2.36, 1 Ga 2.47
Ga  0.6667  0.3333  0.6774  3 S 2.36, 1 Ga 2.47
Ga  0.6667  0.3333  0.8226  3 S 2.36, 1 Ga 2.47
S  0.3333  0.6667  0.6136  3 Ga 2.36
S  0.3333  0.6667  0.8864  3 Ga 2.36
S  0.6667  0.3333  0.1136  3 Ga 2.36
S  0.6667  0.3333  0.3864  3 Ga 2.36

Crystal system   hexagonal
Raw formation energy   -0.65 eV/atom


Record 4
# GaS

GaS after structural relaxation (PBE, Alexandria).

Cell: 3.7103 3.7103 7.7310 Å, 90.00 90.00 120.00°
Closest atoms and distances in Å follow each position.
Element x y z (fractional)
Ga  0.3333  0.6667  0.0000  4 S 2.46-2.65
Ga  0.6667  0.3333  0.5000  4 S 2.46-2.65
S  0.3333  0.6667  0.6569  4 Ga 2.46-2.65
S  0.6667  0.3333  0.1569  4 Ga 2.46-2.65

Crystal system   hexagonal
Raw formation energy   -0.30 eV/atom


Record 5
# Ga2S3

Ga2S3 after structural relaxation (PBE, Alexandria).

Cell: 3.7085 8.3849 9.0819 Å, 65.91 89.95 77.24°
Closest atoms and distances in Å follow each position.
Element x y z (fractional)
Ga  0.0000  0.0000  0.0000  4 S 2.20-2.36
Ga  0.0668  0.8726  0.4227  4 S 2.23-2.40
Ga  0.2951  0.4123  0.6834  4 S 2.21-2.35
Ga  0.6418  0.7180  0.8143  4 S 2.27-2.34
S  0.2035  0.5994  0.4241  2 Ga 2.21-2.23
S  0.2380  0.5253  0.8826  3 Ga 2.34-2.35
S  0.5337  0.9374  0.5575  3 Ga 2.27-2.40
S  0.5939  0.8122  0.0221  3 Ga 2.32-2.36
S  0.8910  0.2199  0.7332  3 Ga 2.34-2.35
S  0.9445  0.1131  0.1818  2 Ga 2.20-2.25

Crystal system   triclinic
Raw formation energy   -0.67 eV/atom


Record 6
# Ga6S

Ga6S after structural relaxation (PBE, Alexandria).

Cell: 6.1837 6.1837 6.1837 Å, 109.47 109.47 109.47°
Closest atoms and distances in Å follow each position.
Element x y z (fractional)
Ga  0.2500  0.5000  0.7500  4 Ga 2.52
Ga  0.2500  0.7500  0.5000  4 Ga 2.52
Ga  0.5000  0.2500  0.7500  4 Ga 2.52
Ga  0.5000  0.7500  0.2500  4 Ga 2.52
Ga  0.7500  0.2500  0.5000  4 Ga 2.52
Ga  0.7500  0.5000  0.2500  4 Ga 2.52
S  0.0000  0.0000  0.0000  24 Ga 3.99

Crystal system   cubic
Raw formation energy   0.51 eV/atom


Record 7
# Ga2S3

Ga2S3 after structural relaxation (PBE, Alexandria).

Cell: 7.2909 7.2909 7.4361 Å, 90.00 90.00 140.67°
Closest atoms and distances in Å follow each position.
Element x y z (fractional)
Ga  0.0863  0.9137  0.7500  2 S 2.80
Ga  0.3990  0.6010  0.7500  4 S 2.32-2.37
Ga  0.6010  0.3990  0.2500  4 S 2.32-2.37
Ga  0.9137  0.0863  0.2500  2 S 2.80
S  0.0307  0.5540  0.2500  1 S 2.04
S  0.4460  0.9693  0.2500  1 S 2.04
S  0.5000  0.5000  0.0000  2 Ga 2.32
S  0.5000  0.5000  0.5000  2 Ga 2.32
S  0.5540  0.0307  0.7500  1 S 2.04
S  0.9693  0.4460  0.7500  1 S 2.04

Crystal system   orthorhombic
Raw formation energy   -0.07 eV/atom


Record 8
# GaS

GaS after structural relaxation (PBE, Alexandria).

Cell: 6.8143 6.8143 6.8143 Å, 109.47 109.47 109.47°
Closest atoms and distances in Å follow each position.
Element x y z (fractional)
Ga  0.0000  0.0000  0.2876  4 S 2.37-2.60
Ga  0.0000  0.2876  0.0000  4 S 2.37-2.60
Ga  0.2876  0.0000  0.0000  4 S 2.37-2.60
Ga  0.7124  0.7124  0.7124  4 S 2.37-2.60
S  0.0000  0.0000  0.6354  4 Ga 2.37-2.60
S  0.0000  0.6354  0.0000  4 Ga 2.37-2.60
S  0.3646  0.3646  0.3646  4 Ga 2.37-2.60
S  0.6354  0.0000  0.0000  4 Ga 2.37-2.60

Crystal system   cubic
Raw formation energy   -0.20 eV/atom